No. 1
First-principles (PBE-GGA) data for a relaxed structure of Mg4ZnRh, as listed in the Alexandria database.

## Properties
* formation energy from the elements: -0.26 eV/atom
* excess energy over the best structure of this formula in the dataset: 0 meV per atom
* space-group type: I4/mcm

Lattice parameters (Å, degrees): 6.486 6.486 7.213 116.72 116.72 90.00
Positions (direct):
Mg1 0.461 0.961 0.273
Mg2 0.961 0.812 0.273
Mg3 0.312 0.461 0.273
Mg4 0.688 0.539 0.727
Mg5 0.039 0.188 0.727
Mg6 0.539 0.039 0.727
Mg7 0.188 0.688 0.727
Mg8 0.812 0.312 0.273
Zn1 0.500 0.500 0.000
Zn2 0.000 0.000 0.000
Rh1 0.250 0.250 0.500
Rh2 0.750 0.750 0.500


No. 2
First-principles (PBE-GGA) data for a relaxed structure of LaSmPuSn, as listed in the Alexandria database.

## Properties
* formation energy from the elements: -0.20 eV/atom
* space-group type: F-43m

Lattice parameters (Å, degrees): 5.516 5.516 5.516 60.00 60.00 60.00
Last column: magnetic moment on the atom in μB.
Positions (direct):
La1 0.500 0.500 0.500  0.25
Sn1 0.250 0.250 0.250  -0.08
Sm1 0.000 0.000 0.000  0.25
Pu1 0.750 0.750 0.750  5.78


No. 3
First-principles (PBE-GGA) data for a relaxed structure of U2PIr, as listed in the Alexandria database.

## Properties
* formation energy from the elements: 0.06 eV/atom
* space-group type: R-3m

Lattice parameters (Å, degrees): 3.172 3.172 9.218 80.09 80.09 60.00
Last column: magnetic moment on the atom in μB.
Positions (direct):
P1 0.500 0.500 0.500  -0.01
Ir1 0.000 0.000 0.000  0.03
U1 0.095 0.095 0.716  0.11
U2 0.905 0.905 0.284  0.11


No. 4
First-principles (PBE-GGA) data for a relaxed structure of NdYCuSi, as listed in the Alexandria database.

## Properties
* space-group type: F-43m
* raw total energy: -5.59 eV/atom

Lattice parameters (Å, degrees): 5.031 5.031 5.031 60.00 60.00 60.00
Positions (direct):
Y1 0.500 0.500 0.500
Si1 0.750 0.750 0.750
Nd1 0.000 0.000 0.000
Cu1 0.250 0.250 0.250


No. 5
First-principles (PBE-GGA) data for a relaxed structure of HfCd2Bi2, as listed in the Alexandria database.

## Properties
* formation energy from the elements: 0.28 eV/atom
* space-group type: P4/mbm

Lattice parameters (Å, degrees): 8.029 8.029 4.033 90.00 90.00 90.00
Positions (direct):
Hf1 0.000 0.000 0.000
Hf2 0.500 0.500 0.000
Bi1 0.176 0.676 0.500
Bi2 0.676 0.824 0.500
Bi3 0.824 0.324 0.500
Bi4 0.324 0.176 0.500
Cd1 0.372 0.872 0.000
Cd2 0.872 0.628 0.000
Cd3 0.628 0.128 0.000
Cd4 0.128 0.372 0.000


No. 6
First-principles (PBE-GGA) data for a relaxed structure of Re4NiIr, as listed in the Alexandria database.

## Properties
* formation energy from the elements: 0.56 eV/atom
* space-group type: F-43m

Lattice parameters (Å, degrees): 5.104 5.104 5.104 60.00 60.00 60.00
Positions (direct):
Re1 0.878 0.374 0.374
Re2 0.374 0.374 0.878
Re3 0.374 0.878 0.374
Re4 0.374 0.374 0.374
Ni1 0.000 0.000 0.000
Ir1 0.750 0.750 0.750


No. 7
First-principles (PBE-GGA) data for a relaxed structure of LiTbEr2, as listed in the Alexandria database.

## Properties
* formation energy from the elements: 0.17 eV/atom
* excess energy over the best structure of this formula in the dataset: 101 meV per atom
* space-group type: P4/mmm

Lattice parameters (Å, degrees): 3.703 5.567 5.567 90.00 90.00 90.00
Positions (direct):
Li1 0.500 0.000 0.000
Tb1 0.500 0.500 0.500
Er1 0.000 0.000 0.500
Er2 0.000 0.500 0.000


No. 8
First-principles (PBE-GGA) data for a relaxed structure of Li3GaRe, as listed in the Alexandria database.

## Properties
* formation energy from the elements: 1.31 eV/atom
* excess energy over the best structure of this formula in the dataset: 121 meV per atom
* space-group type: Pm-3m

Lattice parameters (Å, degrees): 4.870 4.870 4.870 90.00 90.00 90.00
Last column: magnetic moment on the atom in μB.
Positions (direct):
Re1 0.000 0.000 0.000  2.01
Ga1 0.500 0.500 0.500  -0.06
Li1 0.000 0.500 0.000  0.01
Li2 0.000 0.000 0.500  0.01
Li3 0.500 0.000 0.000  0.00


No. 9
First-principles (PBE-GGA) data for a relaxed structure of Ti2CrSe5, as listed in the Alexandria database.

## Properties
* space-group type: Fmmm
* raw total energy: -6.03 eV/atom

Lattice parameters (Å, degrees): 4.664 6.592 7.083 83.31 70.78 69.28
Last column: magnetic moment on the atom in μB.
Positions (direct):
Ti1 0.811 0.500 0.879  0.73
Ti2 0.189 0.500 0.121  0.73
Cr1 0.500 0.500 0.500  2.85
Se1 0.217 0.754 0.812  -0.12
Se2 0.529 0.754 0.188  -0.12
Se3 0.000 0.500 0.500  -0.14
Se4 0.783 0.246 0.188  -0.12
Se5 0.471 0.246 0.812  -0.12


No. 10
First-principles (PBE-GGA) data for a relaxed structure of OsICl4, as listed in the Alexandria database.

## Properties
* space-group type: P1
* raw total energy: -3.35 eV/atom

Lattice parameters (Å, degrees): 7.306 7.327 7.304 121.65 121.56 87.16
Last column: magnetic moment on the atom in μB.
Positions (direct):
Os1 0.500 0.500 0.000  2.09
I1 0.750 0.250 0.500  -0.46
Cl1 0.276 0.279 0.553  0.08
Cl2 0.725 0.722 0.447  0.08
Cl3 0.278 0.724 0.003  0.08
Cl4 0.721 0.275 0.997  0.08


No. 11
First-principles (PBE-GGA) data for a relaxed structure of Ba2ZrIn, as listed in the Alexandria database.

## Properties
* formation energy from the elements: 0.18 eV/atom
* space-group type: Pm

Lattice parameters (Å, degrees): 5.372 3.845 7.537 75.31 90.00 90.00
Positions (direct):
Ba1 0.000 0.970 0.937
Ba2 0.500 0.281 0.309
In1 0.000 0.672 0.526
Zr1 0.500 0.577 0.728


No. 12
First-principles (PBE-GGA) data for a relaxed structure of Nb2CuPt2, as listed in the Alexandria database.

## Properties
* formation energy from the elements: -0.16 eV/atom
* excess energy over the best structure of this formula in the dataset: 85 meV per atom
* space-group type: P4/mbm

Lattice parameters (Å, degrees): 7.930 7.930 2.807 90.00 90.00 90.00
Positions (direct):
Nb1 0.333 0.833 0.000
Nb2 0.833 0.667 0.000
Nb3 0.667 0.167 0.000
Nb4 0.167 0.333 0.000
Cu1 0.000 0.000 0.000
Cu2 0.500 0.500 0.000
Pt1 0.128 0.628 0.500
Pt2 0.628 0.872 0.500
Pt3 0.872 0.372 0.500
Pt4 0.372 0.128 0.500